A relaxed TlRe2Hg crystal. Source: Alexandria, functional GGA-PBEsol.

Computed properties:
The calculation puts the total energy at -6.221 eV per atom. Its energy relative to the lowest polymorph listed for this composition is 3.36 eV per formula unit. For the calculated formation energy, the calculation gives 1.24 eV per atom.

abc: 3.9716 3.9716 5.2507
angles: 112.22 112.22 90.00
Last column: nearest neighbours and their distance in Å.
Fractional positions:
Hg (0.0000, 0.0000, 0.0000)  4 Tl 2.81, 8 Re 2.98
Re (0.7500, 0.2500, 0.5000)  4 Re 2.81, 4 Hg 2.98, 4 Tl 2.98
Re (0.2500, 0.7500, 0.5000)  4 Re 2.81, 4 Hg 2.98, 4 Tl 2.98
Tl (0.5000, 0.5000, 0.0000)  4 Hg 2.81, 8 Re 2.98